First-principles (PBE) data for Ni2AgRu after structural relaxation, as listed in Alexandria.

Output
* Fermi-level density of states: 0.963 states/eV/atom
* excess energy over the best structure of this formula in the dataset: 0.558 eV per atom
* formation energy: 757 meV/atom
* E_tot: -20.66 eV per formula unit

The structure in CIF format:
```
data_Ni2AgRu
_space_group_name_H-M_alt 'I -4 2 d'
_space_group_IT_number 122
_space_group_name_Hall 'I -4 2bw'
_cell_length_a 6.717
_cell_length_b 6.717
_cell_length_c 5.337
_cell_angle_alpha 90.00
_cell_angle_beta 90.00
_cell_angle_gamma 90.00
loop_
_atom_site_label
_atom_site_type_symbol
_atom_site_fract_x
_atom_site_fract_y
_atom_site_fract_z
Ni1 Ni 0.227 0.750 0.125
Ag1 Ag 0.000 0.000 0.500
Ru1 Ru 0.000 0.000 0.000
```